1.
A geometry-optimized KNa2InPb structure. Source: the Alexandria database, functional PBE.

Lattice parameters (Å, degrees): 6.006 6.006 5.975 90.00 90.00 90.00
Fractional coordinates of all 5 atoms:
K (0.000, 0.000, 0.000)
Na (0.000, 0.500, 0.500)
Na (0.500, 0.000, 0.500)
In (0.500, 0.500, 0.000)
Pb (0.500, 0.500, 0.500)

Computed properties:
* V: 43.1 Å³/atom
* uncorrected energy: -2.033 eV per atom
* ΔH_f (0 K): 0.003 eV per atom
* SG: P4/mmm (123)
* mass density: 3.1 g/cm³
* relative energy among the computed polymorphs: 0 kJ/mol of formula units

***

2.
A geometry-optimized KNa2InPd structure. Source: the Alexandria database, functional PBE.

Lattice parameters (Å, degrees): 5.624 5.624 5.234 90.00 90.00 90.00
Fractional coordinates of all 5 atoms:
K (0.000, 0.000, 0.000)
Na (0.000, 0.500, 0.500)
Na (0.500, 0.000, 0.500)
In (0.500, 0.500, 0.000)
Pd (0.500, 0.500, 0.500)

Computed properties:
* V: 33.1 Å³/atom
* uncorrected energy: -2.475 eV per atom
* ΔH_f (0 K): -0.141 eV per atom
* SG: P4/mmm (123)
* mass density: 3.1 g/cm³

***

3.
A geometry-optimized KNaInPd2 structure. Source: the Alexandria database, functional PBE.

Lattice parameters (Å, degrees): 5.049 5.049 5.043 90.00 90.00 90.00
Fractional coordinates of all 5 atoms:
K (0.000, 0.000, 0.000)
Na (0.000, 0.000, 0.500)
In (0.500, 0.500, 0.000)
Pd (0.000, 0.500, 0.500)
Pd (0.500, 0.000, 0.500)

Computed properties:
* V: 25.7 Å³/atom
* uncorrected energy: -2.580 eV per atom
* ΔH_f (0 K): 0.528 eV per atom
* SG: P4/mmm (123)
* mass density: 5.0 g/cm³

***

4.
A geometry-optimized KNaInPt structure. Source: the Alexandria database, functional PBE.

Lattice parameters (Å, degrees): 4.714 4.714 6.781 110.38 110.38 60.21
Fractional coordinates of all 4 atoms:
K (0.000, 0.000, 0.000)
Na (0.795, 0.795, 0.388)
In (0.543, 0.543, 0.631)
Pt (0.201, 0.201, 0.607)

Computed properties:
* V: 29.9 Å³/atom
* uncorrected energy: -3.044 eV per atom
* ΔH_f (0 K): -0.245 eV per atom
* SG: Cm (8)
* mass density: 5.2 g/cm³

***

5.
A geometry-optimized K2NaInPt structure. Source: the Alexandria database, functional PBE.

Lattice parameters (Å, degrees): 6.228 6.228 5.234 90.00 90.00 90.00
Fractional coordinates of all 5 atoms:
K (0.000, 0.500, 0.000)
K (0.500, 0.000, 0.000)
Na (0.000, 0.000, 0.500)
In (0.500, 0.500, 0.500)
Pt (0.500, 0.500, 0.000)

Computed properties:
* V: 40.6 Å³/atom
* uncorrected energy: -2.542 eV per atom
* ΔH_f (0 K): -0.083 eV per atom
* SG: P4/mmm (123)
* mass density: 3.4 g/cm³

***

6.
A geometry-optimized KNaIn2Pt structure. Source: the Alexandria database, functional PBE.

Lattice parameters (Å, degrees): 5.263 5.263 6.211 90.00 90.00 90.00
Fractional coordinates of all 5 atoms:
K (0.000, 0.000, 0.000)
Na (0.500, 0.500, 0.000)
In (0.000, 0.500, 0.500)
In (0.500, 0.000, 0.500)
Pt (0.000, 0.000, 0.500)

Computed properties:
* V: 34.4 Å³/atom
* uncorrected energy: -2.953 eV per atom
* ΔH_f (0 K): -0.166 eV per atom
* SG: P4/mmm (123)
* mass density: 4.7 g/cm³
* relative energy among the computed polymorphs: 54 kJ/mol of formula units

***

7.
A geometry-optimized KNaIn2Pt structure. Source: the Alexandria database, functional PBE.

Lattice parameters (Å, degrees): 5.210 5.210 5.705 90.00 90.00 90.00
Fractional coordinates of all 5 atoms:
K (0.000, 0.000, 0.000)
Na (0.500, 0.500, 0.000)
In (0.000, 0.500, 0.500)
In (0.500, 0.000, 0.500)
Pt (0.500, 0.500, 0.500)

Computed properties:
* V: 31.0 Å³/atom
* uncorrected energy: -3.066 eV per atom
* ΔH_f (0 K): -0.279 eV per atom
* SG: P4/mmm (123)
* mass density: 5.2 g/cm³
* relative energy among the computed polymorphs: 0 kJ/mol of formula units

***

8.
A geometry-optimized KNa2InPt structure. Source: the Alexandria database, functional PBE.

Lattice parameters (Å, degrees): 5.638 5.638 5.190 90.00 90.00 90.00
Fractional coordinates of all 5 atoms:
K (0.000, 0.000, 0.000)
Na (0.000, 0.500, 0.500)
Na (0.500, 0.000, 0.500)
In (0.500, 0.500, 0.000)
Pt (0.500, 0.500, 0.500)

Computed properties:
* V: 33.0 Å³/atom
* uncorrected energy: -2.695 eV per atom
* ΔH_f (0 K): -0.193 eV per atom
* SG: P4/mmm (123)
* mass density: 4.0 g/cm³

***

9.
A geometry-optimized KRb2NaIn structure. Source: the Alexandria database, functional PBE.

Lattice parameters (Å, degrees): 7.092 7.092 6.830 90.00 90.00 90.00
Fractional coordinates of all 5 atoms:
K (0.000, 0.000, 0.000)
Rb (0.000, 0.500, 0.500)
Rb (0.500, 0.000, 0.500)
Na (0.000, 0.000, 0.500)
In (0.500, 0.500, 0.000)

Computed properties:
* V: 68.7 Å³/atom
* uncorrected energy: -1.089 eV per atom
* ΔH_f (0 K): 0.329 eV per atom
* SG: P4/mmm (123)
* mass density: 1.7 g/cm³
* relative energy among the computed polymorphs: 111 kJ/mol of formula units

***

10.
A geometry-optimized KRbNaIn structure. Source: the Alexandria database, functional PBE.

Lattice parameters (Å, degrees): 6.255 6.255 6.255 60.00 60.00 60.00
Fractional coordinates of all 4 atoms:
K (0.000, 0.000, 0.000)
Rb (0.250, 0.250, 0.250)
Na (0.500, 0.500, 0.500)
In (0.750, 0.750, 0.750)

Computed properties:
* V: 43.3 Å³/atom
* uncorrected energy: -1.476 eV per atom
* ΔH_f (0 K): 0.054 eV per atom
* SG: F-43m (216)
* mass density: 2.5 g/cm³

***

11.
A geometry-optimized KRb2NaIn structure. Source: the Alexandria database, functional PBE.

Lattice parameters (Å, degrees): 7.231 7.231 6.234 90.00 90.00 90.00
Fractional coordinates of all 5 atoms:
K (0.000, 0.000, 0.000)
Rb (0.000, 0.500, 0.500)
Rb (0.500, 0.000, 0.500)
Na (0.500, 0.500, 0.000)
In (0.500, 0.500, 0.500)

Computed properties:
* V: 65.2 Å³/atom
* uncorrected energy: -1.320 eV per atom
* ΔH_f (0 K): 0.098 eV per atom
* SG: P4/mmm (123)
* mass density: 1.8 g/cm³
* relative energy among the computed polymorphs: 0 kJ/mol of formula units

***

12.
A geometry-optimized KRb2Na6In structure. Source: the Alexandria database, functional PBE.

Lattice parameters (Å, degrees): 9.321 9.321 9.321 60.00 60.00 60.00
Fractional coordinates of all 10 atoms:
K (0.000, 0.000, 0.000)
Rb (0.250, 0.250, 0.250)
Rb (0.750, 0.750, 0.750)
Na (0.273, 0.273, 0.727)
Na (0.273, 0.727, 0.273)
Na (0.273, 0.727, 0.727)
Na (0.727, 0.273, 0.273)
Na (0.727, 0.273, 0.727)
Na (0.727, 0.727, 0.273)
In (0.500, 0.500, 0.500)

Computed properties:
* V: 57.3 Å³/atom
* uncorrected energy: -1.253 eV per atom
* ΔH_f (0 K): 0.116 eV per atom
* SG: Fm-3m (225)
* mass density: 1.3 g/cm³

***

13.
A geometry-optimized KRbNa2In structure. Source: the Alexandria database, functional PBE.

Lattice parameters (Å, degrees): 6.251 6.251 6.969 90.00 90.00 90.00
Fractional coordinates of all 5 atoms:
K (0.000, 0.000, 0.000)
Rb (0.500, 0.500, 0.000)
Na (0.000, 0.500, 0.500)
Na (0.500, 0.000, 0.500)
In (0.500, 0.500, 0.500)

Computed properties:
* V: 54.5 Å³/atom
* uncorrected energy: -1.404 eV per atom
* ΔH_f (0 K): 0.084 eV per atom
* SG: P4/mmm (123)
* mass density: 1.7 g/cm³
* relative energy among the computed polymorphs: 16 kJ/mol of formula units

***

14.
A geometry-optimized KRbNa2In structure. Source: the Alexandria database, functional PBE.

Lattice parameters (Å, degrees): 6.241 6.241 6.783 90.00 90.00 90.00
Fractional coordinates of all 5 atoms:
K (0.000, 0.000, 0.000)
Rb (0.500, 0.500, 0.000)
Na (0.000, 0.500, 0.500)
Na (0.500, 0.000, 0.500)
In (0.000, 0.000, 0.500)

Computed properties:
* V: 52.8 Å³/atom
* uncorrected energy: -1.437 eV per atom
* ΔH_f (0 K): 0.051 eV per atom
* SG: P4/mmm (123)
* mass density: 1.8 g/cm³
* relative energy among the computed polymorphs: 0 kJ/mol of formula units

***

15.
A geometry-optimized K2NaIn2S4 structure. Source: the Alexandria database, functional PBE.

Lattice parameters (Å, degrees): 8.123 8.123 7.434 105.37 105.37 32.37
Fractional coordinates of all 9 atoms:
K (0.117, 0.117, 0.033)
K (0.883, 0.883, 0.967)
Na (0.000, 0.000, 0.500)
In (0.338, 0.338, 0.490)
In (0.662, 0.662, 0.510)
S (0.210, 0.210, 0.681)
S (0.476, 0.476, 0.744)
S (0.524, 0.524, 0.256)
S (0.790, 0.790, 0.319)

Computed properties:
* V: 28.0 Å³/atom
* uncorrected energy: -3.665 eV per atom
* SG: C2/m (12)
* mass density: 3.0 g/cm³
* E_form (uncorrected): -831.8 meV per atom

***

16.
A geometry-optimized KNaIn2Sb2 structure. Source: the Alexandria database, functional PBE.

Lattice parameters (Å, degrees): 5.282 5.282 8.030 90.00 90.00 120.00
Fractional coordinates of all 6 atoms:
K (0.000, 0.000, 0.000)
Na (0.000, 0.000, 0.500)
In (0.333, 0.667, 0.651)
In (0.667, 0.333, 0.349)
Sb (0.333, 0.667, 0.272)
Sb (0.667, 0.333, 0.728)

Computed properties:
* V: 32.3 Å³/atom
* uncorrected energy: -2.981 eV per atom
* SG: P-3m1 (164)
* mass density: 4.6 g/cm³
* E_form (uncorrected): -291.1 meV per atom

***

17.
A geometry-optimized KNa2In2Sb2 structure. Source: the Alexandria database, functional PBE.

Lattice parameters (Å, degrees): 9.969 9.969 9.969 30.53 30.53 30.53
Fractional coordinates of all 7 atoms:
K (0.000, 0.000, 0.000)
Na (0.139, 0.139, 0.139)
Na (0.861, 0.861, 0.861)
In (0.444, 0.444, 0.444)
In (0.556, 0.556, 0.556)
Sb (0.250, 0.250, 0.250)
Sb (0.750, 0.750, 0.750)

Computed properties:
* V: 32.4 Å³/atom
* uncorrected energy: -2.764 eV per atom
* SG: R-3m (166)
* mass density: 4.1 g/cm³
* E_form (uncorrected): -270.5 meV per atom

***

18.
A geometry-optimized KNaSc2In structure. Source: the Alexandria database, functional PBE.

Lattice parameters (Å, degrees): 5.410 5.410 5.798 90.00 90.00 90.00
Fractional coordinates of all 5 atoms:
K (0.000, 0.000, 0.000)
Na (0.500, 0.500, 0.500)
Sc (0.000, 0.500, 0.000)
Sc (0.500, 0.000, 0.000)
In (0.000, 0.000, 0.500)

Computed properties:
* V: 33.9 Å³/atom
* uncorrected energy: -2.337 eV per atom
* ΔH_f (0 K): 1.226 eV per atom
* SG: P4/mmm (123)
* mass density: 2.6 g/cm³

***

19.
A geometry-optimized K2NaIn2Se4 structure. Source: the Alexandria database, functional PBE.

Lattice parameters (Å, degrees): 8.401 8.401 7.718 105.23 105.23 32.60
Fractional coordinates of all 9 atoms:
K (0.119, 0.119, 0.042)
K (0.881, 0.881, 0.958)
Na (0.000, 0.000, 0.500)
In (0.338, 0.338, 0.491)
In (0.662, 0.662, 0.509)
Se (0.210, 0.210, 0.687)
Se (0.478, 0.478, 0.749)
Se (0.522, 0.522, 0.251)
Se (0.790, 0.790, 0.313)

Computed properties:
* V: 31.4 Å³/atom
* uncorrected energy: -3.389 eV per atom
* SG: C2/m (12)
* mass density: 3.8 g/cm³
* E_form (uncorrected): -841.7 meV per atom

***

20.
A geometry-optimized KNa2InSi structure. Source: the Alexandria database, functional PBE.

Lattice parameters (Å, degrees): 5.846 5.846 5.627 90.00 90.00 90.00
Fractional coordinates of all 5 atoms:
K (0.000, 0.000, 0.000)
Na (0.000, 0.500, 0.500)
Na (0.500, 0.000, 0.500)
In (0.500, 0.500, 0.000)
Si (0.500, 0.500, 0.500)

Computed properties:
* V: 38.5 Å³/atom
* uncorrected energy: -2.269 eV per atom
* SG: P4/mmm (123)
* mass density: 2.0 g/cm³
* E_form (uncorrected): 110.7 meV per atom

***

21.
A geometry-optimized KNaInSn structure. Source: the Alexandria database, functional PBE.

Lattice parameters (Å, degrees): 5.538 5.538 5.538 60.00 60.00 60.00
Fractional coordinates of all 4 atoms:
K (0.000, 0.000, 0.000)
Na (0.750, 0.750, 0.750)
In (0.250, 0.250, 0.250)
Sn (0.500, 0.500, 0.500)

Computed properties:
* V: 30.0 Å³/atom
* uncorrected energy: -2.394 eV per atom
* ΔH_f (0 K): -0.104 eV per atom
* SG: F-43m (216)
* mass density: 4.1 g/cm³

***

22.
A geometry-optimized K2Na4InSn2 structure. Source: the Alexandria database, functional PBE.

Lattice parameters (Å, degrees): 8.564 8.564 5.644 107.13 107.13 54.43
Fractional coordinates of all 9 atoms:
K (0.136, 0.136, 0.151)
K (0.864, 0.864, 0.849)
Na (0.156, 0.572, 0.351)
Na (0.428, 0.844, 0.649)
Na (0.572, 0.156, 0.351)
Na (0.844, 0.428, 0.649)
In (0.500, 0.500, 0.000)
Sn (0.307, 0.307, 0.796)
Sn (0.693, 0.693, 0.204)

Computed properties:
* V: 35.3 Å³/atom
* uncorrected energy: -2.136 eV per atom
* ΔH_f (0 K): -0.112 eV per atom
* SG: C2/m (12)
* mass density: 2.7 g/cm³

***

23.
A geometry-optimized KNa2InSn structure. Source: the Alexandria database, functional PBE.

Lattice parameters (Å, degrees): 5.943 5.943 5.897 90.00 90.00 90.00
Fractional coordinates of all 5 atoms:
K (0.000, 0.000, 0.000)
Na (0.000, 0.500, 0.500)
Na (0.500, 0.000, 0.500)
In (0.500, 0.500, 0.000)
Sn (0.500, 0.500, 0.500)

Computed properties:
* V: 41.6 Å³/atom
* uncorrected energy: -2.118 eV per atom
* ΔH_f (0 K): -0.023 eV per atom
* SG: P4/mmm (123)
* mass density: 2.5 g/cm³

***

24.
A geometry-optimized KNa2In2Sn2 structure. Source: the Alexandria database, functional PBE.

Lattice parameters (Å, degrees): 10.388 10.388 10.388 27.93 27.93 27.93
Fractional coordinates of all 7 atoms:
K (0.000, 0.000, 0.000)
Na (0.144, 0.144, 0.144)
Na (0.856, 0.856, 0.856)
In (0.439, 0.439, 0.439)
In (0.561, 0.561, 0.561)
Sn (0.255, 0.255, 0.255)
Sn (0.745, 0.745, 0.745)

Computed properties:
* V: 31.0 Å³/atom
* uncorrected energy: -2.641 eV per atom
* ΔH_f (0 K): -0.181 eV per atom
* SG: R-3m (166)
* mass density: 4.2 g/cm³

***

25.
A geometry-optimized KNa2SrIn structure. Source: the Alexandria database, functional PBE.

Lattice parameters (Å, degrees): 6.219 6.219 6.421 90.00 90.00 90.00
Fractional coordinates of all 5 atoms:
K (0.000, 0.000, 0.000)
Na (0.000, 0.500, 0.500)
Na (0.500, 0.000, 0.500)
Sr (0.500, 0.500, 0.000)
In (0.500, 0.500, 0.500)

Computed properties:
* V: 49.7 Å³/atom
* uncorrected energy: -1.588 eV per atom
* ΔH_f (0 K): 0.043 eV per atom
* SG: P4/mmm (123)
* mass density: 1.9 g/cm³

***

26.
A geometry-optimized KNaSrIn structure. Source: the Alexandria database, functional PBE.

Lattice parameters (Å, degrees): 6.066 6.066 6.066 60.00 60.00 60.00
Fractional coordinates of all 4 atoms:
K (0.000, 0.000, 0.000)
Na (0.750, 0.750, 0.750)
Sr (0.500, 0.500, 0.500)
In (0.250, 0.250, 0.250)

Computed properties:
* V: 39.5 Å³/atom
* uncorrected energy: -1.743 eV per atom
* ΔH_f (0 K): -0.034 eV per atom
* SG: F-43m (216)
* mass density: 2.8 g/cm³

***

27.
A geometry-optimized KNa2TaIn structure. Source: the Alexandria database, functional PBE.

Lattice parameters (Å, degrees): 4.880 4.880 5.928 90.00 90.00 90.00
Fractional coordinates of all 5 atoms:
K (0.000, 0.000, 0.000)
Na (0.000, 0.500, 0.000)
Na (0.500, 0.000, 0.000)
Ta (0.500, 0.500, 0.500)
In (0.000, 0.000, 0.500)

Computed properties:
* V: 28.2 Å³/atom
* uncorrected energy: -2.125 eV per atom
* ΔH_f (0 K): 1.540 eV per atom
* SG: P4/mmm (123)
* mass density: 4.5 g/cm³

***

28.
A geometry-optimized KNaIn2Te4 structure. Source: the Alexandria database, functional PBE.

Lattice parameters (Å, degrees): 7.555 7.555 7.555 121.09 107.52 100.51
Fractional coordinates of all 8 atoms:
K (0.000, 0.000, 0.000)
Na (0.500, 0.500, 0.000)
In (0.290, 0.790, 0.500)
In (0.710, 0.210, 0.500)
Te (0.096, 0.069, 0.591)
Te (0.479, 0.506, 0.409)
Te (0.521, 0.931, 0.027)
Te (0.904, 0.494, 0.973)

Computed properties:
* V: 40.1 Å³/atom
* uncorrected energy: -2.951 eV per atom
* SG: I222 (23)
* mass density: 4.2 g/cm³
* E_form (uncorrected): -393.2 meV per atom